(1)
NbTlC2 after structural relaxation, computed with PBE.

a = 5.162 Å, b = 5.162 Å, c = 6.190 Å
α = 65.36°, β = 65.36°, γ = 90.00°
Atoms (fractional coordinates):
C 0.173 0.625 0.250
Tl 0.000 0.000 0.000
Tl 0.750 0.250 0.500
C 0.875 0.827 0.750
Nb 0.500 0.500 0.000
C 0.577 0.125 0.250
Nb 0.250 0.750 0.500
C 0.375 0.423 0.750

Results
The calculation puts the total magnetization at 0.0 Bohr magnetons per cell. The space-group type is No. 122. As for the energy of formation from the pure elements: 0.864 eV per atom. The calculation puts the total energy at -6.857 eV/atom. The value obtained for the energy above the lowest structure with this stoichiometry is 0.000 eV/atom.

(2)
NbTl3C after structural relaxation, computed with PBE.

a = 5.575 Å, b = 5.575 Å, c = 5.575 Å
α = 90.00°, β = 90.00°, γ = 90.00°
Last column: magnetic moment on the atom in μB.
Atoms (fractional coordinates):
Nb 0.000 0.000 0.000  -1.41
C 0.500 0.500 0.500  0.98
Tl 0.500 0.000 0.000  -0.04
Tl 0.000 0.500 0.000  -0.10
Tl 0.000 0.000 0.500  -0.09

Results
The calculation puts the total magnetization at 0.2 Bohr magnetons per cell. The space-group type is No. 221. As for the energy of formation from the pure elements: 1.901 eV per atom. The calculation puts the total energy at -3.378 eV/atom. The value obtained for the energy above the lowest structure with this stoichiometry is 0.332 eV/atom.

(3)
NbTlC after structural relaxation, computed with PBE.

a = 3.176 Å, b = 3.176 Å, c = 10.959 Å
α = 90.36°, β = 90.36°, γ = 90.00°
Atoms (fractional coordinates):
Tl 0.741 0.741 0.649
Nb 0.248 0.248 0.903
C 0.252 0.252 0.098
Nb 0.752 0.752 0.097
Tl 0.259 0.259 0.351
C 0.748 0.748 0.902

Results
The calculation puts the total magnetization at 0.0 Bohr magnetons per cell. The space-group type is No. 12. As for the energy of formation from the pure elements: -0.099 eV per atom. The calculation puts the total energy at -7.319 eV/atom.

(4)
NbTl3C after structural relaxation, computed with PBE.

a = 4.868 Å, b = 4.868 Å, c = 4.868 Å
α = 90.00°, β = 90.00°, γ = 90.00°
Last column: magnetic moment on the atom in μB.
Atoms (fractional coordinates):
Tl 0.500 0.000 0.000  0.00
Nb 0.500 0.500 0.500  2.12
Tl 0.000 0.500 0.000  0.00
Tl 0.000 0.000 0.500  0.00
C 0.000 0.000 0.000  0.19

Results
The calculation puts the total magnetization at 3.0 Bohr magnetons per cell. The space-group type is No. 221. As for the energy of formation from the pure elements: 1.568 eV per atom. The calculation puts the total energy at -3.710 eV/atom. The value obtained for the energy above the lowest structure with this stoichiometry is 0.000 eV/atom.

(5)
Y2NbTlC after structural relaxation, computed with PBE.

a = 4.949 Å, b = 4.949 Å, c = 4.373 Å
α = 90.00°, β = 90.00°, γ = 90.00°
Last column: magnetic moment on the atom in μB.
Atoms (fractional coordinates):
Y 0.500 0.000 0.000  0.04
C 0.000 0.000 0.000  -0.03
Y 0.000 0.500 0.000  0.04
Nb 0.000 0.000 0.500  0.83
Tl 0.500 0.500 0.500  -0.03

Results
The calculation puts the total magnetization at 1.1 Bohr magnetons per cell. The space-group type is No. 123. As for the energy of formation from the pure elements: -0.293 eV per atom. The calculation puts the total energy at -7.211 eV/atom.

(6)
Zr2NbTlC after structural relaxation, computed with PBE.

a = 4.656 Å, b = 4.656 Å, c = 4.278 Å
α = 90.00°, β = 90.00°, γ = 90.00°
Atoms (fractional coordinates):
Zr 0.500 0.000 0.000
Zr 0.000 0.500 0.000
Nb 0.000 0.000 0.500
Tl 0.500 0.500 0.500
C 0.000 0.000 0.000

Results
The calculation puts the total magnetization at 0.0 Bohr magnetons per cell. The space-group type is No. 123. As for the energy of formation from the pure elements: -0.309 eV per atom. The calculation puts the total energy at -8.061 eV/atom.